# 1
Computed, not measured: an optimized crystal structure of CsBe2H6 at the GGA-PBE level of DFT.

a = 3.8227 Å, b = 4.4495 Å, c = 6.5902 Å
α = 86.33°, β = 73.63°, γ = 89.01°
Last column: nearest neighbours and their distance in Å.
Space group P-1 (No. 2)
Inequivalent atoms, fractional coordinates:
Cs  0.0000  0.0000  0.0000 x1  12 H 3.11-3.33
Be  0.2920  0.4880  0.4143 x2  5 H 1.40-1.50
H  0.0088  0.7283  0.4766 x2  2 Be 1.50
H  0.3991  0.4635  0.1949 x2  1 Be 1.40
H  0.4946  0.2717  0.5241 x2  2 Be 1.50

## Properties
- Offset from the most stable computed form: 0.00 eV per formula unit
- DOS(E_F): 0.29 states/eV/f.u.
- Size of the total moment: 0.00 μB per formula unit

# 2
Computed, not measured: an optimized crystal structure of CsBeH3 at the GGA-PBE level of DFT.

a = 6.0290 Å, b = 10.4537 Å, c = 4.1873 Å
α = 90.00°, β = 90.10°, γ = 90.00°
Last column: nearest neighbours and their distance in Å.
Space group C2/c (No. 15)
Inequivalent atoms, fractional coordinates:
Cs  0.0000  0.1667  0.2500 x4  12 H 3.05-3.06
Be  0.0000  0.5000  0.0000 x4  6 H 1.64
H  0.0000  0.3796  0.7500 x4  2 Be 1.64
H  0.1808  0.4398  0.2505 x8  2 Be 1.64

## Properties
- Offset from the most stable computed form: 0.00 eV per formula unit
- DOS(E_F): 0.00 states/eV/f.u.
- Size of the total moment: 0.00 μB per formula unit

# 3
Computed, not measured: an optimized crystal structure of Cs3BeH at the GGA-PBE level of DFT.

a = 6.1210 Å, b = 6.1210 Å, c = 6.1210 Å
α = 90.00°, β = 90.00°, γ = 90.00°
Last column: nearest neighbours and their distance in Å.
Space group Pm-3m (No. 221)
Inequivalent atoms, fractional coordinates:
Cs  0.0000  0.0000  0.5000 x3  2 H 3.06
Be  0.5000  0.5000  0.5000 x1  12 Cs 4.33
H  0.0000  0.0000  0.0000 x1  6 Cs 3.06

## Properties
- Offset from the most stable computed form: 0.00 eV per formula unit
- DOS(E_F): 4.55 states/eV/f.u.
- Size of the total moment: 0.00 μB per formula unit

# 4
Computed, not measured: an optimized crystal structure of CsBeH3 at the GGA-PBE level of DFT.

a = 5.0843 Å, b = 5.8532 Å, c = 7.7718 Å
α = 90.00°, β = 108.43°, γ = 90.00°
Last column: nearest neighbours and their distance in Å.
Space group P2_1/m (No. 11)
Inequivalent atoms, fractional coordinates:
Cs  0.1879  0.2500  0.2658 x2  9 H 3.03-3.24
Be  0.2293  0.2500  0.7362 x2  3 H 1.40
H  0.0779  0.2500  0.8587 x2  1 Be 1.40
H  0.2978  0.0438  0.6686 x4  1 Be 1.40

## Properties
- Offset from the most stable computed form: 0.18 eV per formula unit
- DOS(E_F): 0.00 states/eV/f.u.
- Size of the total moment: 0.00 μB per formula unit

# 5
Computed, not measured: an optimized crystal structure of Cs3BeH5 at the GGA-PBE level of DFT.

a = 8.1648 Å, b = 8.1648 Å, c = 11.8386 Å
α = 90.00°, β = 90.00°, γ = 90.00°
Last column: nearest neighbours and their distance in Å.
Space group I4/mcm (No. 140)
Inequivalent atoms, fractional coordinates:
Cs  0.0000  0.0000  0.2500 x4  2 H 2.96
Cs  0.1754  0.3246  0.0000 x8  8 H 3.01-3.30
Be  0.0000  0.5000  0.2500 x4  4 H 1.48
H  0.0000  0.0000  0.0000 x4  6 Cs 2.96-3.01
H  0.1043  0.3957  0.3229 x16  1 Be 1.48

## Properties
- Raw total energy: -101.731 eV for the cell shown
- DOS(E_F): 0.00 states/eV/f.u.
- Size of the total moment: 0.00 μB per formula unit

# 6
Computed, not measured: an optimized crystal structure of CsBeH3 at the GGA-PBE level of DFT.

a = 3.9366 Å, b = 3.9366 Å, c = 3.9366 Å
α = 90.00°, β = 90.00°, γ = 90.00°
Last column: nearest neighbours and their distance in Å.
Space group Pm-3m (No. 221)
Inequivalent atoms, fractional coordinates:
Cs  0.0000  0.0000  0.0000 x1  12 H 2.78
Be  0.5000  0.5000  0.5000 x1  6 H 1.97
H  0.0000  0.5000  0.5000 x3  2 Be 1.97

## Properties
- Offset from the most stable computed form: 2.02 eV per formula unit
- DOS(E_F): 0.00 states/eV/f.u.
- Size of the total moment: 0.00 μB per formula unit

# 7
Computed, not measured: an optimized crystal structure of CsBe3H at the GGA-PBE level of DFT.

a = 4.4653 Å, b = 4.4653 Å, c = 4.4653 Å
α = 90.00°, β = 90.00°, γ = 90.00°
Last column: nearest neighbours and their distance in Å.
Space group Pm-3m (No. 221)
Inequivalent atoms, fractional coordinates:
Cs  0.0000  0.0000  0.0000 x1  12 Be 3.16
Be  0.0000  0.5000  0.5000 x3  2 H 2.23
H  0.5000  0.5000  0.5000 x1  6 Be 2.23

## Properties
- Raw total energy: -6.977 eV for the cell shown
- DOS(E_F): 3.06 states/eV/f.u.
- Size of the total moment: 0.00 μB per formula unit

# 8
Computed, not measured: an optimized crystal structure of CsBe2H6 at the GGA-PBE level of DFT.

a = 3.2110 Å, b = 5.4878 Å, c = 6.2347 Å
α = 103.15°, β = 90.27°, γ = 90.34°
Last column: nearest neighbours and their distance in Å.
Space group P-1 (No. 2)
Inequivalent atoms, fractional coordinates:
Cs  0.0000  0.0000  0.0000 x1  6 H 2.98, 2 Cs 3.21
Be  0.4964  0.2200  0.5696 x2  1 H 1.40
H  0.0031  0.8046  0.5129 x2  2 Be 1.68-1.69
H  0.4930  0.4677  0.4333 x2  1 H 0.83
H  0.4993  0.6583  0.2075 x2  1 Be 1.40

## Properties
- Offset from the most stable computed form: 2.41 eV per formula unit
- DOS(E_F): 0.93 states/eV/f.u.
- Size of the total moment: 0.00 μB per formula unit

# 9
Computed, not measured: an optimized crystal structure of Cs3Be2H8 at the GGA-PBE level of DFT.

a = 6.0386 Å, b = 6.0386 Å, c = 21.6626 Å
α = 90.00°, β = 90.00°, γ = 120.00°
Last column: nearest neighbours and their distance in Å.
Space group R-3m (No. 166, hexagonal axes)
Inequivalent atoms, fractional coordinates:
Cs  0.0000  0.0000  0.0000 x3  6 H 3.10
Cs  0.0000  0.0000  0.2164 x6  10 H 3.04-3.15
Be  0.0000  0.0000  0.4314 x6  4 H 1.45-1.50
H  0.0000  0.0000  0.3620 x6  1 Be 1.50
H  0.0591  0.5296  0.2261 x18  1 Be 1.45

## Properties
- Raw total energy: -113.087 eV for the cell shown
- DOS(E_F): 2.16 states/eV/f.u.
- Size of the total moment: 0.92 μB per formula unit

# 10
Computed, not measured: an optimized crystal structure of Cs4BeH6 at the GGA-PBE level of DFT.

a = 14.1108 Å, b = 6.2183 Å, c = 14.8790 Å
α = 90.00°, β = 112.13°, γ = 90.00°
Last column: nearest neighbours and their distance in Å.
Space group Cc (No. 9)
Inequivalent atoms, fractional coordinates:
Cs  0.0000  0.2187  0.0000 x4  5 H 2.95-3.20
Cs  0.1726  0.2408  0.3748 x4  6 H 2.88-3.16
Cs  0.2850  0.2655  0.7379 x4  5 H 3.03-3.30
Cs  0.4396  0.2339  0.1755 x4  4 H 2.81-3.15
Be  0.2260  0.2715  0.9786 x4  4 H 1.47-1.48
H  0.1408  0.2612  0.8827 x4  1 Be 1.48
H  0.2081  0.4501  0.0356 x4  1 Be 1.48
H  0.2280  0.0732  0.0333 x4  1 Be 1.47
H  0.3228  0.3044  0.9633 x4  1 Be 1.48
H  0.3382  0.2289  0.3061 x4  3 Cs 2.81-2.95
H  0.4789  0.2655  0.6961 x4  5 Cs 3.01-3.16

## Properties
- Raw total energy: -118.386 eV for the cell shown
- DOS(E_F): 0.00 states/eV/f.u.
- Size of the total moment: 0.00 μB per formula unit

# 11
Computed, not measured: an optimized crystal structure of Cs4BeH5 at the GGA-PBE level of DFT.

a = 9.2081 Å, b = 9.2081 Å, c = 6.1277 Å
α = 90.00°, β = 90.00°, γ = 90.00°
Last column: nearest neighbours and their distance in Å.
Space group I4 (No. 79)
Inequivalent atoms, fractional coordinates:
Cs  0.1358  0.2806  0.0000 x8  3 H 2.96-3.11
Be  0.0000  0.0000  0.4398 x2  1 H 1.50
H  0.0000  0.0000  0.1951 x2  1 Be 1.50
H  0.0459  0.1722  0.5011 x8  1 Be 1.68

## Properties
- Raw total energy: -47.782 eV for the cell shown
- DOS(E_F): 2.03 states/eV/f.u.
- Size of the total moment: 0.63 μB per formula unit

# 12
Computed, not measured: an optimized crystal structure of Cs2Be2H7 at the GGA-PBE level of DFT.

a = 8.1407 Å, b = 10.2740 Å, c = 3.7249 Å
α = 90.00°, β = 90.62°, γ = 90.00°
Last column: nearest neighbours and their distance in Å.
Space group C2/m (No. 12)
Inequivalent atoms, fractional coordinates:
Cs  0.0000  0.2314  0.0000 x4  12 H 2.98-3.33
Be  0.1781  0.5000  0.5409 x4  3 H 1.42-1.46
H  0.0000  0.5000  0.5000 x2  2 Be 1.46
H  0.1991  0.5000  0.9686 x4  1 Be 1.60
H  0.2456  0.3743  0.4893 x8  1 Be 1.42

## Properties
- Raw total energy: -65.813 eV for the cell shown
- DOS(E_F): 1.47 states/eV/f.u.
- Size of the total moment: 0.00 μB per formula unit

# 13
Computed, not measured: an optimized crystal structure of CsHfBe2H8 at the GGA-PBE level of DFT.

a = 4.2311 Å, b = 4.2311 Å, c = 27.3712 Å
α = 90.00°, β = 90.00°, γ = 120.00°
Last column: nearest neighbours and their distance in Å.
Space group R-3 (No. 148, hexagonal axes)
Inequivalent atoms, fractional coordinates:
Cs  0.0000  0.0000  0.0000 x3  6 H 2.85
Hf  0.0000  0.0000  0.5000 x3  6 H 1.98
Be  0.0000  0.0000  0.2288 x6  4 H 1.40-1.44
H  0.0000  0.0000  0.2798 x6  1 Be 1.40
H  0.0054  0.6362  0.5452 x18  1 Be 1.44

## Properties
- Raw total energy: -138.981 eV for the cell shown
- DOS(E_F): 2.59 states/eV/f.u.
- Size of the total moment: 0.52 μB per formula unit

# 14
Computed, not measured: an optimized crystal structure of CsBe2H8Ir at the GGA-PBE level of DFT.

a = 4.3215 Å, b = 4.3215 Å, c = 23.3001 Å
α = 90.00°, β = 90.00°, γ = 120.00°
Last column: nearest neighbours and their distance in Å.
Space group R-3 (No. 148, hexagonal axes)
Inequivalent atoms, fractional coordinates:
Cs  0.0000  0.0000  0.0000 x3  12 H 2.87-3.18
Be  0.0000  0.0000  0.2111 x6  4 H 1.42-1.56
H  0.0000  0.0000  0.2722 x6  1 Be 1.42
H  0.0112  0.7087  0.5459 x18  1 Be 1.56, 1 Ir 1.67
Ir  0.0000  0.0000  0.5000 x3  6 H 1.67

## Properties
- Raw total energy: -137.773 eV for the cell shown
- DOS(E_F): 0.00 states/eV/f.u.
- Size of the total moment: 0.00 μB per formula unit

# 15
Computed, not measured: an optimized crystal structure of CsKBeH4 at the GGA-PBE level of DFT.

a = 5.1295 Å, b = 9.8674 Å, c = 10.3349 Å
α = 90.00°, β = 90.00°, γ = 90.00°
Last column: nearest neighbours and their distance in Å.
Space group Cmcm (No. 63)
Inequivalent atoms, fractional coordinates:
Cs  0.0000  0.0000  0.0000 x4  6 H 2.96-3.17
K  0.0000  0.2911  0.2500 x4  8 H 2.71-2.95
Be  0.0000  0.3755  0.7500 x4  4 H 1.44-1.48
H  0.0000  0.2901  0.6329 x8  1 Be 1.48
H  0.2281  0.4609  0.7500 x8  1 Be 1.44

## Properties
- Raw total energy: -84.043 eV for the cell shown
- DOS(E_F): 0.00 states/eV/f.u.
- Size of the total moment: 0.00 μB per formula unit

# 16
Computed, not measured: an optimized crystal structure of Cs2MgBeH6 at the GGA-PBE level of DFT.

a = 5.9703 Å, b = 5.9703 Å, c = 27.9167 Å
α = 90.00°, β = 90.00°, γ = 120.00°
Last column: nearest neighbours and their distance in Å.
Space group R-3m (No. 166, hexagonal axes)
Inequivalent atoms, fractional coordinates:
Cs  0.0000  0.0000  0.1267 x6  12 H 2.96-3.31
Cs  0.0000  0.0000  0.2882 x6  12 H 2.91-2.99
Mg  0.0000  0.0000  0.0000 x3  6 H 2.22
Mg  0.0000  0.0000  0.5000 x3  6 H 1.93
Be  0.0000  0.0000  0.4148 x6  3 H 1.63
H  0.0238  0.5119  0.2893 x18  1 Be 1.91
H  0.0801  0.5401  0.1161 x18  1 Be 1.63

## Properties
- Raw total energy: -169.176 eV for the cell shown
- DOS(E_F): 0.00 states/eV/f.u.
- Size of the total moment: 0.00 μB per formula unit

# 17
Computed, not measured: an optimized crystal structure of CsMgBe2H8 at the GGA-PBE level of DFT.

a = 5.0443 Å, b = 5.0443 Å, c = 20.5984 Å
α = 90.00°, β = 90.00°, γ = 120.00°
Last column: nearest neighbours and their distance in Å.
Space group R32 (No. 155, hexagonal axes)
Inequivalent atoms, fractional coordinates:
Cs  0.0000  0.0000  0.0000 x3  6 H 2.97
Mg  0.0000  0.0000  0.5000 x3  6 H 1.92
Be  0.0000  0.0000  0.2324 x6  4 H 1.42-1.47
H  0.0000  0.0000  0.3038 x6  1 Be 1.47
H  0.0108  0.5037  0.8909 x18  1 Be 1.42

## Properties
- Raw total energy: -109.006 eV for the cell shown
- DOS(E_F): 1.34 states/eV/f.u.
- Size of the total moment: 1.00 μB per formula unit

# 18
Computed, not measured: an optimized crystal structure of Cs2NaBeH at the GGA-PBE level of DFT.

a = 6.2050 Å, b = 6.2050 Å, c = 4.9161 Å
α = 90.00°, β = 90.00°, γ = 90.00°
Last column: nearest neighbours and their distance in Å.
Space group P4/mmm (No. 123)
Inequivalent atoms, fractional coordinates:
Cs  0.0000  0.5000  0.0000 x2  2 H 3.10
Na  0.0000  0.0000  0.5000 x1  2 H 2.46
Be  0.5000  0.5000  0.5000 x1  8 Cs 3.96, 4 Na 4.39
H  0.0000  0.0000  0.0000 x1  2 Na 2.46

## Properties
- Raw total energy: -7.614 eV for the cell shown
- DOS(E_F): 4.04 states/eV/f.u.
- Size of the total moment: 0.00 μB per formula unit

# 19
Computed, not measured: an optimized crystal structure of Cs2NaBeH4 at the GGA-PBE level of DFT.

a = 5.2656 Å, b = 9.4353 Å, c = 39.0459 Å
α = 90.00°, β = 90.00°, γ = 90.00°
Last column: nearest neighbours and their distance in Å.
Space group Fddd (No. 70, origin choice 2)
Inequivalent atoms, fractional coordinates:
Cs  0.1250  0.1250  0.3096 x16  2 H 3.13
Na  0.1250  0.1250  0.1250 x8  4 H 2.16
Be  0.1250  0.1250  0.6250 x8  4 H 1.46
H  0.0332  0.2866  0.8530 x32  1 Be 1.46

## Properties
- Raw total energy: -171.860 eV for the cell shown
- DOS(E_F): 1.30 states/eV/f.u.
- Size of the total moment: 0.00 μB per formula unit

# 20
Computed, not measured: an optimized crystal structure of CsBeNiH6 at the GGA-PBE level of DFT.

a = 4.2802 Å, b = 4.2802 Å, c = 6.2292 Å
α = 90.00°, β = 90.00°, γ = 120.00°
Last column: nearest neighbours and their distance in Å.
Space group P312 (No. 149)
Inequivalent atoms, fractional coordinates:
Cs  0.0000  0.0000  0.0000 x1  6 H 2.85
Be  0.3333  0.6667  0.5000 x1  6 H 1.60
Ni  0.6667  0.3333  0.5000 x1  6 H 1.57
H  0.4394  0.0047  0.6543 x6  1 Ni 1.57, 1 Be 1.60

## Properties
- Raw total energy: -31.319 eV for the cell shown
- DOS(E_F): 0.56 states/eV/f.u.
- Size of the total moment: 0.00 μB per formula unit

# 21
Computed, not measured: an optimized crystal structure of CsNpBe2H8 at the GGA-PBE level of DFT.

a = 4.3312 Å, b = 4.3312 Å, c = 27.1801 Å
α = 90.00°, β = 90.00°, γ = 120.00°
Last column: nearest neighbours and their distance in Å.
Space group R-3m (No. 166, hexagonal axes)
Inequivalent atoms, fractional coordinates:
Cs  0.0000  0.0000  0.0000 x3  6 H 2.88
Np  0.0000  0.0000  0.5000 x3  12 H 2.43
Be  0.0000  0.0000  0.2289 x6  4 H 1.40-1.42
H  0.0000  0.0000  0.2805 x6  1 Be 1.40
H  0.0125  0.5062  0.5405 x18  1 Be 1.42

## Properties
- Raw total energy: -148.366 eV for the cell shown
- DOS(E_F): 6.25 states/eV/f.u.
- Size of the total moment: 4.00 μB per formula unit